Record 1
An optimized crystal structure of Li2PmAl2Ga2, computed with PBE.

Results
As for the volume: 18.50 Å³ per atom. As for the total energy: -3.5863 eV per atom. The calculation puts the density of states at the Fermi level at 1.35 states/eV per cell. As for the formation energy: -2.987 eV per formula unit.

Cell: 4.3569 4.3642 8.2421 Å, 105.15 90.00 119.94°
Sites, in units of the cell vectors:
1 Al 0.4343 0.8686 0.3060
2 Al 0.5657 0.1314 0.6940
3 Li 0.1431 0.2862 0.4315
4 Li 0.8569 0.7138 0.5685
5 Ga 0.2595 0.5191 0.7765
6 Ga 0.7405 0.4809 0.2235
7 Pm 0.0000 0.0000 0.0000

***

Record 2
An optimized crystal structure of LiPrAlGa, computed with PBE.

Results
As for the volume: 21.45 Å³ per atom. As for the total energy: -3.7181 eV per atom. The calculation puts the density of states at the Fermi level at 1.99 states/eV per cell. As for the formation energy: -1.409 eV per formula unit.

Cell: 4.3758 4.3746 5.7624 Å, 112.36 90.00 120.01°
Sites, in units of the cell vectors:
1 Li 0.8258 0.6516 0.1193
2 Al 0.1159 0.2318 0.9899
3 Ga 0.4049 0.8097 0.8572
4 Pr 0.6197 0.2395 0.5010

***

Record 3
An optimized crystal structure of LiPr2AlGa6, computed with PBE.

Results
As for the volume: 21.02 Å³ per atom. As for the total energy: -3.6598 eV per atom. The calculation puts the density of states at the Fermi level at 7.72 states/eV per cell. As for the formation energy: -3.221 eV per formula unit.

Cell: 6.4089 6.4089 12.3856 Å, 75.01 75.01 60.00°
Sites, in units of the cell vectors:
1 Ga 0.3398 0.9423 0.3780
2 Ga 0.6602 0.0577 0.6220
3 Ga 0.2320 0.6649 0.8711
4 Ga 0.6602 0.6602 0.6220
5 Ga 0.3398 0.3398 0.3780
6 Ga 0.3351 0.7680 0.1289
7 Ga 0.9423 0.3398 0.3780
8 Ga 0.2320 0.2320 0.8711
9 Ga 0.7680 0.3351 0.1289
10 Ga 0.6649 0.2320 0.8711
11 Ga 0.0577 0.6602 0.6220
12 Ga 0.7680 0.7680 0.1289
13 Pr 0.7053 0.7053 0.8840
14 Pr 0.2947 0.2947 0.1160
15 Pr 0.8857 0.8857 0.3429
16 Pr 0.1143 0.1143 0.6571
17 Li 0.5699 0.5699 0.2904
18 Li 0.4301 0.4301 0.7096
19 Al 0.5000 0.5000 0.5000
20 Al 0.0000 0.0000 0.0000

***

Record 4
An optimized crystal structure of LiPrAlGa, computed with PBE.

Results
As for the volume: 20.48 Å³ per atom. As for the total energy: -3.6515 eV per atom. The calculation puts the density of states at the Fermi level at 2.29 states/eV per cell. As for the formation energy: -1.143 eV per formula unit.

Cell: 4.8752 4.8752 4.8752 Å, 60.00 60.00 60.00°
Sites, in units of the cell vectors:
1 Li 0.2500 0.2500 0.2500
2 Ga 0.7500 0.7500 0.7500
3 Pr 0.0000 0.0000 0.0000
4 Al 0.5000 0.5000 0.5000

***

Record 5
An optimized crystal structure of LiPrAl2Ga4, computed with PBE.

Results
As for the volume: 19.14 Å³ per atom. As for the total energy: -3.5527 eV per atom. The calculation puts the density of states at the Fermi level at 3.16 states/eV per cell. As for the formation energy: -2.136 eV per formula unit.

Cell: 4.5138 4.5138 9.0610 Å, 75.58 75.58 60.00°
Sites, in units of the cell vectors:
1 Pr 0.0000 0.0000 0.0000
2 Li 0.5000 0.5000 0.5000
3 Ga 0.6010 0.6010 0.1969
4 Ga 0.3990 0.3990 0.8031
5 Ga 0.1315 0.1315 0.6054
6 Ga 0.8685 0.8685 0.3946
7 Al 0.7590 0.7590 0.7231
8 Al 0.2410 0.2410 0.2769

***

Record 6
An optimized crystal structure of Li2PrAl2Ga2, computed with PBE.

Results
As for the volume: 18.88 Å³ per atom. As for the total energy: -3.5912 eV per atom. The calculation puts the density of states at the Fermi level at 1.47 states/eV per cell. As for the formation energy: -2.992 eV per formula unit.

Cell: 4.3751 4.3836 8.3353 Å, 105.03 90.00 119.94°
Sites, in units of the cell vectors:
1 Li 0.8570 0.7140 0.5684
2 Li 0.1430 0.2860 0.4316
3 Ga 0.2582 0.5165 0.7721
4 Ga 0.7418 0.4835 0.2279
5 Pr 0.0000 0.0000 0.0000
6 Al 0.5650 0.1300 0.6913
7 Al 0.4350 0.8700 0.3087

***

Record 7
An optimized crystal structure of LiAlGa2Pt, computed with PBE.

Results
As for the volume: 17.02 Å³ per atom. As for the total energy: -3.1537 eV per atom. The calculation puts the density of states at the Fermi level at 2.24 states/eV per cell. As for the formation energy: 1.982 eV per formula unit.

Cell: 4.3514 4.4949 4.3514 Å, 90.00 90.00 90.00°
Sites, in units of the cell vectors:
1 Ga 0.5000 0.0000 0.0000
2 Ga 0.0000 0.0000 0.5000
3 Al 0.0000 0.5000 0.0000
4 Li 0.0000 0.0000 0.0000
5 Pt 0.5000 0.5000 0.5000

***

Record 8
An optimized crystal structure of LiPu2AlGa6, computed with PBE.

Results
As for the volume: 22.05 Å³ per atom. As for the total energy: -5.3577 eV per atom. The calculation puts the density of states at the Fermi level at 38.49 states/eV per cell. As for the formation energy: -1.095 eV per formula unit.

Cell: 5.9758 5.9758 14.6742 Å, 78.25 78.25 60.00°
Sites, in units of the cell vectors:
1 Pu 0.1258 0.1258 0.6225
2 Pu 0.7416 0.7416 0.7753
3 Pu 0.8742 0.8742 0.3775
4 Pu 0.2584 0.2584 0.2247
5 Ga 0.3365 0.3365 0.4164
6 Ga 0.6635 0.0893 0.5836
7 Ga 0.7916 0.2568 0.1600
8 Ga 0.7432 0.2084 0.8400
9 Ga 0.9107 0.3365 0.4164
10 Ga 0.0893 0.6635 0.5836
11 Ga 0.3365 0.9107 0.4164
12 Ga 0.7916 0.7916 0.1600
13 Ga 0.6635 0.6635 0.5836
14 Ga 0.2084 0.7432 0.8400
15 Ga 0.2084 0.2084 0.8400
16 Ga 0.2568 0.7916 0.1600
17 Al 0.5684 0.5684 0.2949
18 Al 0.4316 0.4316 0.7051
19 Li 0.5000 0.5000 0.5000
20 Li 0.0000 0.0000 0.0000

***

Record 9
An optimized crystal structure of LiPuAlGa, computed with PBE.

Results
As for the volume: 18.89 Å³ per atom. As for the total energy: -5.9049 eV per atom. The calculation puts the density of states at the Fermi level at 6.76 states/eV per cell. As for the formation energy: -0.604 eV per formula unit.

Cell: 4.7451 4.7451 4.7451 Å, 60.00 60.00 60.00°
Sites, in units of the cell vectors:
1 Al 0.0000 0.0000 0.0000
2 Pu 0.5000 0.5000 0.5000
3 Li 0.2500 0.2500 0.2500
4 Ga 0.7500 0.7500 0.7500

***

Record 10
An optimized crystal structure of RbLiAlGa2, computed with PBE.

Results
As for the volume: 43.82 Å³ per atom. As for the total energy: -1.3576 eV per atom. The calculation puts the density of states at the Fermi level at 7.37 states/eV per cell. As for the formation energy: 5.890 eV per formula unit.

Cell: 5.9860 6.1146 5.9860 Å, 90.00 90.00 90.00°
Sites, in units of the cell vectors:
1 Ga 0.0000 0.0000 0.5000
2 Ga 0.5000 0.0000 0.0000
3 Li 0.5000 0.5000 0.5000
4 Rb 0.0000 0.0000 0.0000
5 Al 0.0000 0.5000 0.0000

***

Record 11
An optimized crystal structure of LiAlGaRe, computed with PBE.

Results
As for the volume: 14.37 Å³ per atom. As for the total energy: -5.3220 eV per atom. The calculation puts the density of states at the Fermi level at 1.56 states/eV per cell. As for the formation energy: -0.157 eV per formula unit.

Cell: 4.3321 4.3321 4.3321 Å, 60.00 60.00 60.00°
Sites, in units of the cell vectors:
1 Ga 0.5000 0.5000 0.5000
2 Al 0.0000 0.0000 0.0000
3 Li 0.7500 0.7500 0.7500
4 Re 0.2500 0.2500 0.2500

***

Record 12
An optimized crystal structure of LiAlGa2Re, computed with PBE.

Results
As for the volume: 15.67 Å³ per atom. As for the total energy: -3.9968 eV per atom. The calculation puts the density of states at the Fermi level at 3.10 states/eV per cell. As for the formation energy: 4.174 eV per formula unit.

Cell: 4.2016 4.4379 4.2016 Å, 90.00 90.00 90.00°
Sites, in units of the cell vectors:
1 Re 0.0000 0.5000 0.0000
2 Li 0.0000 0.0000 0.0000
3 Al 0.5000 0.5000 0.5000
4 Ga 0.5000 0.0000 0.0000
5 Ga 0.0000 0.0000 0.5000

***

Record 13
An optimized crystal structure of LiAlGa2Re, computed with PBE.

Results
As for the volume: 22.83 Å³ per atom. As for the total energy: -4.0953 eV per atom. The calculation puts the density of states at the Fermi level at 4.56 states/eV per cell. As for the formation energy: 3.682 eV per formula unit.

Cell: 4.8295 4.8940 4.8295 Å, 90.00 90.00 90.00°
Sites, in units of the cell vectors:
1 Al 0.5000 0.5000 0.5000
2 Ga 0.0000 0.0000 0.5000
3 Ga 0.5000 0.0000 0.0000
4 Li 0.0000 0.5000 0.0000
5 Re 0.0000 0.0000 0.0000

***

Record 14
An optimized crystal structure of LiScAlGa, computed with PBE.

Results
As for the volume: 17.68 Å³ per atom. As for the total energy: -4.1437 eV per atom. The calculation puts the density of states at the Fermi level at 0.91 states/eV per cell. As for the formation energy: -1.560 eV per formula unit.

Cell: 3.5410 4.4965 4.4424 Å, 90.00 90.00 90.00°
Sites, in units of the cell vectors:
1 Li 0.5000 0.5000 0.0000
2 Sc 0.5000 0.0000 0.5000
3 Ga 0.0000 0.0000 0.0000
4 Al 0.0000 0.5000 0.5000

***

Record 15
An optimized crystal structure of LiScAlGa, computed with PBE.

Results
As for the volume: 17.62 Å³ per atom. As for the total energy: -4.1012 eV per atom. The calculation puts the density of states at the Fermi level at 0.95 states/eV per cell. As for the formation energy: -1.390 eV per formula unit.

Cell: 4.6362 4.6362 4.6362 Å, 60.00 60.00 60.00°
Sites, in units of the cell vectors:
1 Al 0.7500 0.7500 0.7500
2 Ga 0.2500 0.2500 0.2500
3 Sc 0.0000 0.0000 0.0000
4 Li 0.5000 0.5000 0.5000

***

Record 16
An optimized crystal structure of Li2ScAl2Ga2, computed with PBE.

Results
As for the volume: 16.74 Å³ per atom. As for the total energy: -3.7333 eV per atom. The calculation puts the density of states at the Fermi level at 1.87 states/eV per cell. As for the formation energy: -2.435 eV per formula unit.

Cell: 4.2963 4.2958 7.7351 Å, 106.01 90.00 120.00°
Sites, in units of the cell vectors:
1 Li 0.8571 0.7143 0.5711
2 Li 0.1429 0.2857 0.4289
3 Sc 0.0000 0.0000 0.0000
4 Al 0.4311 0.8623 0.2937
5 Al 0.5689 0.1377 0.7063
6 Ga 0.2681 0.5362 0.8036
7 Ga 0.7319 0.4638 0.1964

***

Record 17
An optimized crystal structure of Li2AlGaSe4, computed with PBE.

Results
As for the volume: 23.91 Å³ per atom. As for the total energy: -4.0707 eV per atom. The calculation puts the density of states at the Fermi level at 0.00 states/eV per cell.

Cell: 5.9256 5.9256 6.8738 Å, 115.54 115.54 90.00°
Sites, in units of the cell vectors:
1 Se 0.0897 0.1078 0.7188
2 Se 0.6291 0.6109 0.7187
3 Se 0.3640 0.8427 0.2248
4 Se 0.8608 0.3821 0.2247
5 Li 0.4859 0.9858 0.9717
6 Li 0.2357 0.2358 0.4717
7 Ga 0.9860 0.4860 0.9718
8 Al 0.7359 0.7359 0.4718

***

Record 18
An optimized crystal structure of LiAlGaSi2, computed with PBE.

Results
As for the volume: 18.02 Å³ per atom. As for the total energy: -3.2642 eV per atom. The calculation puts the density of states at the Fermi level at 2.83 states/eV per cell.

Cell: 4.4692 4.5117 4.4692 Å, 90.00 90.00 90.00°
Sites, in units of the cell vectors:
1 Li 0.0000 0.0000 0.0000
2 Al 0.5000 0.5000 0.5000
3 Si 0.5000 0.0000 0.0000
4 Si 0.0000 0.0000 0.5000
5 Ga 0.0000 0.5000 0.0000

***

Record 19
An optimized crystal structure of LiSmAlGa2, computed with PBE.

Results
As for the volume: 19.41 Å³ per atom. As for the total energy: -3.7852 eV per atom. The calculation puts the density of states at the Fermi level at 1.59 states/eV per cell. As for the formation energy: -2.497 eV per formula unit.

Cell: 4.1875 4.1875 6.2781 Å, 109.48 109.48 90.00°
Sites, in units of the cell vectors:
1 Li 0.2500 0.7500 0.5000
2 Al 0.7500 0.2500 0.5000
3 Ga 0.3881 0.3881 0.7761
4 Ga 0.6119 0.6119 0.2239
5 Sm 0.0000 0.0000 0.0000

***

Record 20
An optimized crystal structure of SrLi2AlGa, computed with PBE.

Results
As for the volume: 24.80 Å³ per atom. As for the total energy: -2.5256 eV per atom. The calculation puts the density of states at the Fermi level at 1.86 states/eV per cell. As for the formation energy: -0.349 eV per formula unit.

Cell: 5.0196 5.0196 4.9221 Å, 90.00 90.00 90.00°
Sites, in units of the cell vectors:
1 Ga 0.0000 0.0000 0.0000
2 Li 0.5000 0.0000 0.0000
3 Li 0.0000 0.5000 0.0000
4 Al 0.0000 0.0000 0.5000
5 Sr 0.5000 0.5000 0.5000